DFT (PBE-GGA) results for MnCrRu2 after structural relaxation.

Output
E in eV per atom: -9.2856
Energy of formation in meV per atom: 51

Cell: 3.9800 2.6604 9.5640 Å, 90.00 90.00 90.00°
With the nearest neighbours (Å) after each atom.
Space group Amm2 (No. 38)
Symmetry-distinct sites (fractional):
Mn  0.0000  0.0000  0.0000 [2 per cell]  2 Cr 2.29, 1 Ru 2.56
Cr  0.5000  0.0000  0.8814 [2 per cell]  2 Mn 2.29
Ru  0.0000  0.0000  0.2673 [2 per cell]  3 Mn 2.56-2.59, 4 Cr 2.63, 6 Ru 2.66-2.81
Ru  0.5000  0.0000  0.6128 [2 per cell]  3 Cr 2.57-2.58, 4 Mn 2.63, 6 Ru 2.66-2.81